(1)
## Rb3AgPd2F9 (GGA-PBE)

Data for a geometry-optimized Rb3AgPd2F9 structure.

Properties
Magnetization = 0.00 μB per formula unit
DOS(E_F) = 4.3 states/eV per cell
Formation energy without anion corrections = -43.609 kcal/mol of atoms
Calculated volume = 252.7 Å³/cell
Symmetry = No. 164

abc: 6.1958 6.1958 7.6000
angles: 90.00 90.00 120.00
With the nearest neighbours (Å) after each atom.
Sites, in units of the cell vectors:
1 Rb 0.0000 0.0000 0.0000  12 F 3.06-3.10
2 Rb 0.3333 0.6667 0.6585  12 F 3.10-3.15
3 Rb 0.6667 0.3333 0.3415  12 F 3.10-3.15
4 Ag 0.0000 0.0000 0.5000  6 F 2.30
5 Pd 0.3333 0.6667 0.1578  6 F 2.12-2.15
6 Pd 0.6667 0.3333 0.8422  6 F 2.12-2.15
7 F 0.0000 0.5000 0.0000  2 Pd 2.15
8 F 0.1726 0.3452 0.3202  1 Pd 2.12, 1 Ag 2.30
9 F 0.1726 0.8274 0.3202  1 Pd 2.12, 1 Ag 2.30
10 F 0.3452 0.1726 0.6798  1 Pd 2.12, 1 Ag 2.30
11 F 0.5000 0.0000 0.0000  2 Pd 2.15
12 F 0.5000 0.5000 0.0000  2 Pd 2.15
13 F 0.6548 0.8274 0.3202  1 Pd 2.12, 1 Ag 2.30
14 F 0.8274 0.1726 0.6798  1 Pd 2.12, 1 Ag 2.30
15 F 0.8274 0.6548 0.6798  1 Pd 2.12, 1 Ag 2.30

=====

(2)
## Pm5InTe8 (GGA-PBE)

Data for a geometry-optimized Pm5InTe8 structure.

Properties
Magnetization = 0.00 μB per formula unit
Formation energy without anion corrections = -29.950 kcal/mol of atoms
Calculated volume = 437.6 Å³/cell
Symmetry = No. 82

abc: 8.2838 8.2838 8.2838
angles: 109.34 109.34 109.73
With the nearest neighbours (Å) after each atom.
Sites, in units of the cell vectors:
1 Pm 0.0000 0.0000 0.0000  8 Te 3.21-3.36
2 Pm 0.2474 0.6232 0.1151  8 Te 3.17-3.48
3 Pm 0.3768 0.4919 0.6242  8 Te 3.17-3.48
4 Pm 0.5081 0.1323 0.8849  8 Te 3.17-3.48
5 Pm 0.8677 0.7526 0.3758  8 Te 3.17-3.48
6 In 0.7500 0.2500 0.5000  8 Te 3.30-3.48
7 Te 0.1308 0.2199 0.7527  5 Pm 3.21-3.36, 1 In 3.30, 1 Te 3.56
8 Te 0.1327 0.7374 0.7518  5 Pm 3.17-3.48, 1 In 3.48
9 Te 0.2626 0.0144 0.3954  5 Pm 3.17-3.48, 1 In 3.48
10 Te 0.4672 0.3780 0.2473  5 Pm 3.21-3.36, 1 In 3.30, 1 Te 3.56
11 Te 0.6190 0.8673 0.6046  5 Pm 3.17-3.48, 1 In 3.48
12 Te 0.6220 0.8692 0.0892  5 Pm 3.21-3.36, 1 In 3.30, 1 Te 3.56
13 Te 0.7801 0.5328 0.9108  5 Pm 3.21-3.36, 1 In 3.30, 1 Te 3.56
14 Te 0.9856 0.3810 0.2482  5 Pm 3.17-3.48, 1 In 3.48

=====

(3)
## HPdCl2 (GGA-PBE)

Data for a geometry-optimized HPdCl2 structure.

Properties
Magnetization = 2.62 μB per formula unit
DOS(E_F) = 5.2 states/eV per cell
Calculated volume = 64.2 Å³/cell
Symmetry = No. 225
Distance to the lowest polymorph of the same formula = 73.4 kJ per mole of atoms

abc: 4.4940 4.4940 4.4940
angles: 60.00 60.00 60.00
With the nearest neighbours (Å) after each atom.
Sites, in units of the cell vectors:
1 H 0.0000 0.0000 0.0000  8 Cl 2.75
2 Pd 0.5000 0.5000 0.5000  8 Cl 2.75
3 Cl 0.2500 0.2500 0.2500  4 Pd 2.75, 4 H 2.75
4 Cl 0.7500 0.7500 0.7500  4 H 2.75, 4 Pd 2.75

=====

(4)
## CaLaPr4Sm2 (GGA-PBE)

Data for a geometry-optimized CaLaPr4Sm2 structure.

Properties
Formation enthalpy at 0 K = 343 meV/atom
Magnetization = 0.00 μB per formula unit
DOS(E_F) = 33.5 states/eV per cell
Calculated volume = 586.3 Å³/cell
Symmetry = No. 15

abc: 9.8209 9.8209 7.0124
angles: 110.92 110.92 88.39
With the nearest neighbours (Å) after each atom.
Sites, in units of the cell vectors:
1 Ca 0.0000 0.0000 0.0000  6 Pr 3.44-3.64, 2 Ca 3.51
2 Ca 0.0000 0.0000 0.5000  6 Pr 3.44-3.64, 2 Ca 3.51
3 La 0.0000 0.5000 0.0000  6 Pr 3.43-3.53, 2 Sm 3.51
4 La 0.5000 0.0000 0.5000  6 Pr 3.43-3.53, 2 Sm 3.51
5 Pr 0.2507 0.7487 0.5012  3 Sm 3.41-3.52, 1 Ca 3.44, 2 Pr 3.49-3.53, 2 La 3.52-3.53
6 Pr 0.2513 0.7493 0.9988  3 Sm 3.41-3.52, 1 Ca 3.44, 2 Pr 3.49-3.53, 2 La 3.52-3.53
7 Pr 0.2603 0.2613 0.5099  3 Sm 3.40-3.42, 1 La 3.43, 2 Pr 3.51, 2 Ca 3.63-3.64
8 Pr 0.2613 0.2603 0.0099  3 Sm 3.40-3.42, 1 La 3.43, 2 Pr 3.51, 2 Ca 3.63-3.64
9 Pr 0.7387 0.7397 0.9901  3 Sm 3.40-3.42, 1 La 3.43, 2 Pr 3.51, 2 Ca 3.63-3.64
10 Pr 0.7397 0.7387 0.4901  3 Sm 3.40-3.42, 1 La 3.43, 2 Pr 3.51, 2 Ca 3.63-3.64
11 Pr 0.7487 0.2507 0.0012  3 Sm 3.41-3.52, 1 Ca 3.44, 2 Pr 3.49-3.53, 2 La 3.52-3.53
12 Pr 0.7493 0.2513 0.4988  3 Sm 3.41-3.52, 1 Ca 3.44, 2 Pr 3.49-3.53, 2 La 3.52-3.53
13 Sm 0.0000 0.5000 0.5000  6 Pr 3.42-3.52, 2 La 3.51
14 Sm 0.5000 0.0000 0.0000  6 Pr 3.42-3.52, 2 La 3.51
15 Sm 0.5000 0.5000 0.0000  6 Pr 3.40-3.41, 2 Sm 3.51
16 Sm 0.5000 0.5000 0.5000  6 Pr 3.40-3.41, 2 Sm 3.51

=====

(5)
## Hg3H2Br (GGA-PBE)

Data for a geometry-optimized Hg3H2Br structure.

Properties
DFT total energy = -1.4921 eV/atom
Magnetization = 0.00 μB per formula unit
DOS(E_F) = 3.3 states/eV per cell
Calculated volume = 281.4 Å³/cell
Symmetry = No. 11

abc: 6.3782 7.3556 6.7217
angles: 90.00 116.82 90.00
With the nearest neighbours (Å) after each atom.
Sites, in units of the cell vectors:
1 Hg 0.1283 0.2500 0.2511  2 H 1.85
2 Hg 0.1301 0.7500 0.2513  2 H 1.83
3 Hg 0.3711 0.7500 0.7476  3 Hg 2.98-3.19, 1 Br 3.07
4 Hg 0.6289 0.2500 0.2524  3 Hg 2.98-3.19, 1 Br 3.07
5 Hg 0.8699 0.2500 0.7487  2 H 1.83
6 Hg 0.8717 0.7500 0.7489  2 H 1.85
7 H 0.1235 0.5008 0.2386  2 Hg 1.83-1.85
8 H 0.1235 0.9992 0.2386  2 Hg 1.83-1.85
9 H 0.8765 0.0008 0.7614  2 Hg 1.83-1.85
10 H 0.8765 0.4992 0.7614  2 Hg 1.83-1.85
11 Br 0.3676 0.2500 0.7408  4 Hg 2.94-3.20
12 Br 0.6324 0.7500 0.2592  4 Hg 2.94-3.20

=====

(6)
## ErCoTcP2 (GGA-PBE)

Data for a geometry-optimized ErCoTcP2 structure.

Properties
Formation enthalpy at 0 K = -948 meV/atom
Magnetization = 0.00 μB per formula unit
DOS(E_F) = 2.1 states/eV per cell
Calculated volume = 74.7 Å³/cell
Symmetry = No. 119

abc: 5.5580 5.5580 5.5580
angles: 138.48 138.48 60.17
With the nearest neighbours (Å) after each atom.
Sites, in units of the cell vectors:
1 Er 0.0000 0.0000 0.0000  8 P 3.04, 4 Co 3.11, 4 Tc 3.11
2 Co 0.2500 0.7500 0.5000  4 P 2.30
3 Tc 0.7500 0.2500 0.5000  4 P 2.30
4 P 0.3743 0.3743 0.0000  2 Tc 2.30, 2 Co 2.30, 1 P 2.42
5 P 0.6257 0.6257 0.0000  2 Co 2.30, 2 Tc 2.30, 1 P 2.42

=====

(7)
## ErTl2Ge2O6 (GGA-PBE)

Data for a geometry-optimized ErTl2Ge2O6 structure.

Properties
Magnetization = 0.95 μB per formula unit
DOS(E_F) = 1.3 states/eV per cell
Formation energy without anion corrections = -39.013 kcal/mol of atoms
Calculated volume = 189.3 Å³/cell
Symmetry = No. 12

abc: 6.0463 6.0463 7.0449
angles: 117.40 117.40 60.20
With the nearest neighbours (Å) after each atom.
Sites, in units of the cell vectors:
1 Er 0.0000 0.0000 0.0000  6 O 2.23-2.25
2 Tl 0.2090 0.2090 0.6654  8 O 2.90-3.24
3 Tl 0.7910 0.7910 0.3346  8 O 2.90-3.24
4 Ge 0.4447 0.4447 0.2794  3 O 1.74-1.76
5 Ge 0.5553 0.5553 0.7206  3 O 1.74-1.76
6 O 0.2354 0.7156 0.7542  1 Ge 1.76
7 O 0.2501 0.2501 0.1592  1 Ge 1.74
8 O 0.2844 0.7646 0.2458  1 Ge 1.76
9 O 0.7156 0.2354 0.7542  1 Ge 1.76
10 O 0.7499 0.7499 0.8408  1 Ge 1.74
11 O 0.7646 0.2844 0.2458  1 Ge 1.76

=====

(8)
## MnCuB (GGA-PBE)

Data for a geometry-optimized MnCuB structure.

Properties
Formation enthalpy at 0 K = -189 meV/atom
Magnetization = 0.77 μB per formula unit
DOS(E_F) = 3.2 states/eV per cell
Calculated volume = 56.8 Å³/cell
Symmetry = No. 63

abc: 7.0079 7.0079 2.8858
angles: 90.00 90.00 156.35
With the nearest neighbours (Å) after each atom.
Sites, in units of the cell vectors:
1 Mn 0.0788 0.9212 0.7500  6 B 2.11-2.15
2 Mn 0.9212 0.0788 0.2500  6 B 2.11-2.15
3 Cu 0.3010 0.6990 0.7500  1 B 2.21, 4 Cu 2.47
4 Cu 0.6990 0.3010 0.2500  1 B 2.21, 4 Cu 2.47
5 B 0.4621 0.5379 0.7500  2 B 1.78
6 B 0.5379 0.4621 0.2500  2 B 1.78

=====

Please write out number 3 again, unchanged.
## HPdCl2 (GGA-PBE)

Data for a geometry-optimized HPdCl2 structure.

Properties
Magnetization = 2.62 μB per formula unit
DOS(E_F) = 5.2 states/eV per cell
Calculated volume = 64.2 Å³/cell
Symmetry = No. 225
Distance to the lowest polymorph of the same formula = 73.4 kJ per mole of atoms

abc: 4.4940 4.4940 4.4940
angles: 60.00 60.00 60.00
With the nearest neighbours (Å) after each atom.
Sites, in units of the cell vectors:
1 H 0.0000 0.0000 0.0000  8 Cl 2.75
2 Pd 0.5000 0.5000 0.5000  8 Cl 2.75
3 Cl 0.2500 0.2500 0.2500  4 Pd 2.75, 4 H 2.75
4 Cl 0.7500 0.7500 0.7500  4 H 2.75, 4 Pd 2.75

=====

Q: What is the formula in the fourth record?
A: CaLaPr4Sm2

=====

Q: What is the calculated volume in the second record?
A: 437.6 Å³/cell